Below is NiGe after structural relaxation, with properties calculated at the PBE level.

The space group is Amm2 (No. 38) and the conventional cell measures 3.835, 7.902 and 5.573 Å, with angles of 90.00, 90.00 and 90.00 degrees. The distinct sites, in fractional coordinates, are Ni at (0.000, 0.000, 0.000), Ni at (0.500, 0.220, 0.947), Ge at (0.000, 0.174, 0.651) and Ge at (0.500, 0.000, 0.270).

The value obtained for the uncorrected energy is -10.7 eV per formula unit. The calculation puts the formation energy at -0.1748 eV per atom. The crystal system is orthorhombic. The calculation puts the magnetization at 0.000 μB/atom.